Here is a geometry-optimized Rb2TlGaI6 structure from the Alexandria database. Energies are from GGA-PBE.

Results
raw formation energy: -0.83 eV/atom
Fermi-level density of states: 0.00 states/eV per cell
total DFT energy (no corrections): -2.4971 eV per atom
V: 45.89 A^3/atom

Structure (CIF):
```
data_Rb2TlGaI6
_cell_length_a 12.244
_cell_length_b 12.244
_cell_length_c 12.244
_cell_angle_alpha 90.00
_cell_angle_beta 90.00
_cell_angle_gamma 90.00
_space_group_name_H-M_alt 'F m -3 m'
_space_group_IT_number 225
_space_group_name_Hall '-F 4 2 3'
loop_
_atom_site_label
_atom_site_fract_x
_atom_site_fract_y
_atom_site_fract_z
Rb1 0.250 0.250 0.250
Tl1 0.000 0.000 0.000
Ga1 0.000 0.000 0.500
I1 0.000 0.000 0.269
```